## 1
The following is a PBE-GGA calculation of a relaxed structure of Th2CoSn, from Alexandria.

Cell lengths 3.3826, 3.3826, 8.5152 Å; angles 90.00, 90.00, 90.00 degrees
Last column: nearest neighbours and their distance in Å.
Space group P4/mmm (No. 123)
Inequivalent atoms, fractional coordinates:
Th1 0.0000 0.0000 0.2064  4 Co 2.97
Co1 0.5000 0.5000 0.0000  8 Th 2.97
Sn1 0.5000 0.5000 0.5000  4 Sn 3.38, 8 Th 3.46

The mass density comes out at 10.94 g/cm3.

=====

## 2
The following is a PBE-GGA calculation of a relaxed structure of Th2CoSn, from Alexandria.

Cell lengths 6.2540, 4.4251, 14.8921 Å; angles 90.00, 90.00, 90.00 degrees
Last column: nearest neighbours and their distance in Å.
Space group Pnma (No. 62)
Inequivalent atoms, fractional coordinates:
Th1 0.1031 0.2500 0.2045  2 Co 2.66-2.87
Th2 0.2219 0.2500 0.5371  3 Co 2.68-2.94
Co1 0.0165 0.2500 0.3792  5 Th 2.66-2.94, 2 Sn 2.68
Sn1 0.2441 0.2500 0.8648  2 Co 2.68

The mass density comes out at 10.34 g/cm3.

=====

Among the structures above, stability is greatest for 2.